Here is an optimized crystal structure of CrAgOs2O8 from Alexandria. Energies are from GGA+U.

Output
E_tot = -0.50407 Ry/atom

Lattice parameters (Å, degrees): 5.5069 5.5069 6.9745 90.00 90.00 120.00
Space group P-3 (No. 147)
Symmetry-distinct sites (fractional):
Cr 0.0000 0.0000 0.0000 (multiplicity 1)
Ag 0.0000 0.0000 0.5000 (multiplicity 1)
Os 0.3333 0.6667 0.2549 (multiplicity 2)
O 0.0606 0.3205 0.1793 (multiplicity 6)
O 0.3333 0.6667 0.5069 (multiplicity 2)